(1)
Density functional theory data (PBE-GGA) for a geometry-optimized Eu2Ni12P5 structure.

abc: 3.6491 10.9115 13.1910
angles: 72.08 90.00 90.00
Last column: nearest neighbours and their distance in Å.
Fractional coordinates of all 38 atoms:
Ni  0.2500  0.2875  0.4385  3 P 2.14-2.33, 1 Ni 2.37
Eu  0.2500  0.2806  0.6827  4 P 2.97-3.00, 12 Ni 3.00-3.24
Ni  0.2500  0.8435  0.4395  2 P 2.22-2.28, 1 Ni 2.47
Ni  0.7500  0.4188  0.9907  4 P 2.20-2.42
Ni  0.2500  0.5777  0.5099  3 P 2.20-2.33
P  0.7500  0.4907  0.1293  7 Ni 2.18-2.42
P  0.2500  0.8107  0.6139  7 Ni 2.22-2.33
Eu  0.2500  0.2460  0.1881  7 P 3.06-3.13, 10 Ni 3.22-3.40
Ni  0.7500  0.0051  0.3416  3 P 2.26-2.29, 3 Ni 2.50-2.52
Ni  0.2500  0.8441  0.1346  2 P 2.20-2.29
Ni  0.7500  0.0088  0.1514  3 P 2.28-2.29, 3 Ni 2.50-2.51
P  0.7500  0.5061  0.6218  5 Ni 2.14-2.33
P  0.2500  0.5093  0.8707  7 Ni 2.18-2.42
Ni  0.2500  0.9949  0.6584  3 P 2.26-2.29, 3 Ni 2.50-2.52
Ni  0.7500  0.1559  0.8654  2 P 2.20-2.29
Ni  0.2500  0.9912  0.8486  3 P 2.28-2.29, 3 Ni 2.50-2.51
P  0.7500  0.1893  0.3861  7 Ni 2.22-2.33
Ni  0.7500  0.9335  0.5511  2 P 2.26, 6 Ni 2.37-2.52
Ni  0.7500  0.4051  0.3051  4 P 2.22-2.40
Eu  0.7500  0.7194  0.3173  4 P 2.97-3.00, 12 Ni 3.00-3.24
Ni  0.2500  0.5812  0.0093  4 P 2.20-2.42
P  0.2500  0.9487  0.2606  6 Ni 2.28-2.29
Ni  0.2500  0.5949  0.6949  4 P 2.22-2.40
Eu  0.7500  0.7540  0.8119  7 P 3.06-3.13, 10 Ni 3.22-3.40
Ni  0.7500  0.1565  0.5605  2 P 2.22-2.28, 1 Ni 2.47
Ni  0.7500  0.4391  0.7962  3 P 2.19-2.31
Ni  0.2500  0.2992  0.9180  3 P 2.18-2.31, 1 Ni 2.41
Ni  0.7500  0.4223  0.4901  3 P 2.20-2.33
Ni  0.7500  0.7125  0.5615  3 P 2.14-2.33, 1 Ni 2.37
Ni  0.2500  0.0665  0.4489  2 P 2.26, 6 Ni 2.37-2.52
P  0.7500  0.0513  0.7394  6 Ni 2.28-2.29
P  0.2500  0.4939  0.3782  5 Ni 2.14-2.33
Ni  0.7500  0.7008  0.0820  3 P 2.18-2.31, 1 Ni 2.41
Ni  0.7500  0.9276  0.9859  2 P 2.30, 6 Ni 2.41-2.51
Ni  0.2500  0.0724  0.0141  2 P 2.30, 6 Ni 2.41-2.51
P  0.7500  0.1999  0.0174  7 Ni 2.20-2.31
P  0.2500  0.8001  0.9826  7 Ni 2.20-2.31
Ni  0.2500  0.5609  0.2038  3 P 2.19-2.31

Values from the calculation:
The final energy comes out at -6.790 eV per atom. Its space group is P2_1/m. The spin magnetization comes out at 0.448 μB per cell. The calculation puts the volume at 13.151 Å³/atom.


(2)
Density functional theory data (PBE-GGA) for a geometry-optimized HfUSe2N structure.

abc: 3.7706 3.7706 13.3858
angles: 90.00 90.00 90.00
Last column: nearest neighbours and their distance in Å.
Fractional coordinates of all 10 atoms:
Se  0.0000  0.5000  0.7062  1 Hf 2.84, 4 U 3.09
U  0.5000  0.0000  0.5901  4 N 2.24
Se  0.5000  0.0000  0.8760  5 Hf 2.73-2.75
Se  0.5000  0.0000  0.2938  1 Hf 2.84, 4 U 3.09
U  0.0000  0.5000  0.4099  4 N 2.24
Hf  0.5000  0.0000  0.0815  6 Se 2.73-2.84
Se  0.0000  0.5000  0.1240  5 Hf 2.73-2.75
N  0.5000  0.5000  0.5000  4 U 2.24
N  0.0000  0.0000  0.5000  4 U 2.24
Hf  0.0000  0.5000  0.9185  6 Se 2.73-2.84

Values from the calculation:
Its space group is P4/nmm. The value obtained for the uncorrected formation energy is -1.316 eV/atom. The spin magnetization comes out at 3.144 μB per cell. The calculation puts the volume at 19.032 Å³/atom.